# 1
A plane-wave DFT calculation with PBE was carried out for a geometry-optimized Ta2CrGaSn structure.

Energy of formation from the pure elements = 0.788 eV per atom
Mass density = 9.9 g/cm³

Structure (POSCAR):
```
Ta2CrGaSn
1.0
4.6625 0.0000 0.0000
0.0000 4.6323 0.0000
0.0000 0.0000 4.6625
Cr Sn Ga Ta
1 1 1 2
Cartesian
0.0000 0.0000 0.0000
2.3313 2.3162 2.3313
0.0000 2.3162 0.0000
0.0000 0.0000 2.3313
2.3313 0.0000 0.0000
```


# 2
A plane-wave DFT calculation with PBE was carried out for a geometry-optimized Ag3Te2 structure.

Distance to the lowest polymorph of the same formula = 0.037 eV per atom
Mass density = 7.8 g/cm³

Structure (POSCAR):
```
Ag3Te2
1.0
6.2680 0.0000 3.3733
3.1340 4.3562 1.6866
-0.6334 0.0000 8.6868
Ag Te
6 4
Cartesian
5.4167 4.0824 10.3491
1.5859 0.2738 2.4473
1.2692 1.9043 6.7907
2.5994 2.4519 4.3190
6.1193 0.0000 3.2933
5.8026 2.1781 7.6367
3.5199 1.7861 10.7734
7.1633 2.5701 4.0037
3.7126 3.9642 6.6605
3.8366 0.3920 6.4300
```


# 3
A plane-wave DFT calculation with PBE was carried out for a geometry-optimized KTlN2F structure.

Distance to the lowest polymorph of the same formula = 0.504 eV per atom
Mass density = 3.6 g/cm³

Structure (POSCAR):
```
KTlN2F
1.0
-4.6495 -1.3941 -2.0369
2.4682 -2.6681 -3.8078
-0.0220 -3.9604 2.7607
Tl N K F
1 2 1 1
Cartesian
-1.1016 -4.0113 -1.5420
1.2341 -1.3340 -1.9039
-2.3247 -0.6971 -1.0185
0.0000 0.0000 0.0000
-0.0110 -1.9802 1.3804
```


Table of volume (A^3/atom), in record order: 20.1, 24.6, 26.8
Table of DOS at the Fermi energy (states/eV/cell), in record order: 5.771, 2.592, 1.919